A plane-wave DFT calculation with PBE-GGA was carried out for a relaxed AcCuAgRh crystal.

Lattice parameters (Å, degrees): 4.934 4.934 4.934 60.00 60.00 60.00
Fractional positions:
Ac 0.000 0.000 0.000
Cu 0.250 0.250 0.250
Rh 0.750 0.750 0.750
Ag 0.500 0.500 0.500

density of states at the Fermi level = 2.88 states/eV/cell
total DFT energy (no corrections) = -4.63 eV/atom
spin magnetization = 0.00 Bohr magnetons per cell